Record 1
Ta5Os PBE optimized geometry; ρ = 15739 kg/m3; energy relative to the lowest polymorph listed for this composition = 1069 meV/atom; space-group type = P6/mmm (191)
1.0
5.271 0.000 0.000
-2.636 4.565 0.000
0.000 0.000 4.801
Ta Os
5 1
direct
0.000 0.500 0.000 Ta
0.333 0.667 0.500 Ta
0.500 0.000 0.000 Ta
0.500 0.500 0.000 Ta
0.667 0.333 0.500 Ta
0.000 0.000 0.500 Os

Record 2
Dy2PuPt9 PBE optimized geometry; ρ = 17202 kg/m3; space-group type = R-3m (166)
1.0
2.708 1.563 8.837
-2.708 1.563 8.837
0.000 -3.126 8.837
Dy Pu Pt
2 1 9
direct
0.139 0.139 0.139 Dy
0.861 0.861 0.861 Dy
0.000 0.000 0.000 Pu
0.081 0.588 0.588 Pt
0.333 0.333 0.333 Pt
0.412 0.412 0.919 Pt
0.412 0.919 0.412 Pt
0.500 0.500 0.500 Pt
0.588 0.081 0.588 Pt
0.588 0.588 0.081 Pt
0.667 0.667 0.667 Pt
0.919 0.412 0.412 Pt

| no. | VASP energy (eV/atom) |
| --- | --- |
| 1 | -10.892 |
| 2 | -7.359 |